# GGA-PBE VZnReRu, optimized geometry
# Formation energy from the elements (kJ per mole of atoms): 0.8
data_VZnReRu
_chemical_formula_sum 'V4 Zn4 Re4 Ru4'
_symmetry_space_group_name_H-M 'F -4 3 m'
_symmetry_Int_Tables_number 216
_symmetry_space_group_name_Hall 'F -4 2 3'
_cell_length_a 6.061
_cell_length_b 6.061
_cell_length_c 6.061
_cell_angle_alpha 90.00
_cell_angle_beta 90.00
_cell_angle_gamma 90.00
loop_
_atom_site_label
_atom_site_type_symbol
_atom_site_fract_x
_atom_site_fract_y
_atom_site_fract_z
_atom_site_occupancy
V1 V 0.000 0.000 0.000 1
Zn1 Zn 0.000 0.000 0.500 1
Re1 Re 0.250 0.250 0.750 1
Ru1 Ru 0.250 0.250 0.250 1

---

# GGA-PBE ZrVReRu, optimized geometry
# Formation energy from the elements (kJ per mole of atoms): -26.8
data_ZrVReRu
_chemical_formula_sum 'Zr4 V4 Re4 Ru4'
_symmetry_space_group_name_H-M 'F -4 3 m'
_symmetry_Int_Tables_number 216
_symmetry_space_group_name_Hall 'F -4 2 3'
_cell_length_a 6.324
_cell_length_b 6.324
_cell_length_c 6.324
_cell_angle_alpha 90.00
_cell_angle_beta 90.00
_cell_angle_gamma 90.00
loop_
_atom_site_label
_atom_site_type_symbol
_atom_site_fract_x
_atom_site_fract_y
_atom_site_fract_z
_atom_site_occupancy
Zr1 Zr 0.000 0.000 0.000 1
V1 V 0.000 0.000 0.500 1
Re1 Re 0.250 0.250 0.250 1
Ru1 Ru 0.250 0.250 0.750 1

---

# GGA-PBE ZrVReRu2, optimized geometry
# Formation energy from the elements (kJ per mole of atoms): 202.5
data_ZrVReRu2
_chemical_formula_sum 'Zr1 V1 Re1 Ru2'
_symmetry_space_group_name_H-M 'P 4/m m m'
_symmetry_Int_Tables_number 123
_symmetry_space_group_name_Hall '-P 4 2'
_cell_length_a 4.657
_cell_length_b 4.657
_cell_length_c 4.788
_cell_angle_alpha 90.00
_cell_angle_beta 90.00
_cell_angle_gamma 90.00
loop_
_atom_site_label
_atom_site_type_symbol
_atom_site_fract_x
_atom_site_fract_y
_atom_site_fract_z
_atom_site_occupancy
Zr1 Zr 0.000 0.000 0.000 1
V1 V 0.500 0.500 0.500 1
Re1 Re 0.000 0.000 0.500 1
Ru1 Ru 0.000 0.500 0.000 1